PmThMgSn | GGA-PBE | optimized geometry

```
data_PmThMgSn
_chemical_formula_sum 'Pm4 Th4 Mg4 Sn4'
_space_group_name_H-M_alt 'F -4 3 m'
_space_group_IT_number 216
_space_group_name_Hall 'F -4 2 3'
_cell_length_a 7.7030
_cell_length_b 7.7030
_cell_length_c 7.7030
_cell_angle_alpha 90.00
_cell_angle_beta 90.00
_cell_angle_gamma 90.00
loop_
_atom_site_label
_atom_site_type_symbol
_atom_site_fract_x
_atom_site_fract_y
_atom_site_fract_z
Pm1 Pm 0.0000 0.0000 0.0000
Th1 Th 0.0000 0.0000 0.5000
Mg1 Mg 0.2500 0.2500 0.2500
Sn1 Sn 0.2500 0.2500 0.7500
```

Properties
- total DFT energy (no corrections) (eV per atom) = -4.71
- DFT formation energy (eV/atom) = -0.27

=====

Hf2Ru2C | GGA-PBE | optimized geometry

```
data_Hf2Ru2C
_chemical_formula_sum 'Hf4 Ru4 C2'
_space_group_name_H-M_alt 'I 4/m m m'
_space_group_IT_number 139
_space_group_name_Hall '-I 4 2'
_cell_length_a 5.2303
_cell_length_b 5.2303
_cell_length_c 6.5522
_cell_angle_alpha 90.00
_cell_angle_beta 90.00
_cell_angle_gamma 90.00
loop_
_atom_site_label
_atom_site_type_symbol
_atom_site_fract_x
_atom_site_fract_y
_atom_site_fract_z
Hf1 Hf 0.0000 0.5000 0.2500
Ru1 Ru 0.0000 0.0000 0.2134
C1 C 0.0000 0.0000 0.5000
```

Properties
- total DFT energy (no corrections) (eV per atom) = -9.14
- DFT formation energy (eV/atom) = 0.40

=====

CdTeOs | GGA-PBE | optimized geometry

```
data_CdTeOs
_chemical_formula_sum 'Cd2 Te2 Os2'
_space_group_name_H-M_alt 'I 4 m m'
_space_group_IT_number 107
_space_group_name_Hall 'I 4 -2'
_cell_length_a 3.1645
_cell_length_b 3.1645
_cell_length_c 13.0700
_cell_angle_alpha 90.00
_cell_angle_beta 90.00
_cell_angle_gamma 90.00
loop_
_atom_site_label
_atom_site_type_symbol
_atom_site_fract_x
_atom_site_fract_y
_atom_site_fract_z
Cd1 Cd 0.0000 0.0000 0.0000
Te1 Te 0.0000 0.0000 0.7354
Os1 Os 0.0000 0.0000 0.3500
```

Properties
- total DFT energy (no corrections) (eV per atom) = -4.68
- uncorrected formation energy (eV/atom) = 0.420